# SrPF2

A relaxed structure of SrPF2 (GGA-PBE, Alexandria via LeMat-Bulk).

Results
Volume, Å³/atom: 17.5
ΔE to the lowest computed polymorph, eV/f.u.: 1.19

a b c (Å): 6.5477 6.5477 6.5477
angles (deg): 90.00 90.00 90.00
Last column: nearest neighbours and their distance in Å.
Space group Fm-3m (No. 225)
Asymmetric unit:
Sr (0.0000, 0.0000, 0.0000) (multiplicity 4)  8 F 2.84
P (0.0000, 0.0000, 0.5000) (multiplicity 4)  8 F 2.84
F (0.2500, 0.2500, 0.2500) (multiplicity 8)  4 Sr 2.84, 4 P 2.84


# Zr2ScOsN

A relaxed structure of Zr2ScOsN (GGA-PBE, Alexandria via LeMat-Bulk).

Results
Volume, Å³/atom: 16.9
Electronic total energy, eV/atom: -9.3684

a b c (Å): 4.5000 4.5000 4.1758
angles (deg): 90.00 90.00 90.00
Last column: nearest neighbours and their distance in Å.
Space group P4/mmm (No. 123)
Asymmetric unit:
Zr (0.0000, 0.5000, 0.0000) (multiplicity 2)  2 N 2.25
Sc (0.0000, 0.0000, 0.5000) (multiplicity 1)  2 N 2.09
Os (0.5000, 0.5000, 0.5000) (multiplicity 1)  8 Zr 3.07, 4 Sc 3.18
N (0.0000, 0.0000, 0.0000) (multiplicity 1)  2 Sc 2.09, 4 Zr 2.25


# K2NaGaGe

A relaxed structure of K2NaGaGe (GGA-PBE, Alexandria via LeMat-Bulk).

Results
Volume, Å³/atom: 43.6
Energy of formation, eV per atom: 0.55

a b c (Å): 6.2651 6.2651 5.5577
angles (deg): 90.00 90.00 90.00
Last column: nearest neighbours and their distance in Å.
Space group P4/mmm (No. 123)
Asymmetric unit:
K (0.0000, 0.5000, 0.0000) (multiplicity 2)  2 Ga 3.13
Na (0.0000, 0.0000, 0.5000) (multiplicity 1)  2 Ga 2.78
Ga (0.0000, 0.0000, 0.0000) (multiplicity 1)  2 Na 2.78
Ge (0.5000, 0.5000, 0.5000) (multiplicity 1)  8 K 4.19, 4 Na 4.43


# LuUGaOs

A relaxed structure of LuUGaOs (GGA-PBE, Alexandria via LeMat-Bulk).

Results
Volume, Å³/atom: 20.4
Energy of formation, eV per atom: -0.11

a b c (Å): 6.8874 6.8874 6.8874
angles (deg): 90.00 90.00 90.00
Last column: nearest neighbours and their distance in Å.
Space group F-43m (No. 216)
Asymmetric unit:
Lu (0.0000, 0.0000, 0.0000) (multiplicity 4)  4 Os 2.98, 4 Ga 2.98
U (0.0000, 0.0000, 0.5000) (multiplicity 4)  4 Os 2.98, 4 Ga 2.98
Ga (0.2500, 0.2500, 0.7500) (multiplicity 4)  4 U 2.98, 4 Lu 2.98
Os (0.2500, 0.2500, 0.2500) (multiplicity 4)  4 U 2.98, 4 Lu 2.98


# In2SbRh

A relaxed structure of In2SbRh (GGA-PBE, Alexandria via LeMat-Bulk).

Results
Volume, Å³/atom: 21.6
Electronic total energy, eV/atom: -4.1450

a b c (Å): 4.5417 4.5417 8.3765
angles (deg): 90.00 90.00 90.00
Last column: nearest neighbours and their distance in Å.
Space group I-4m2 (No. 119)
Asymmetric unit:
In (0.0000, 0.0000, 0.0000) (multiplicity 2)  4 In 3.09, 4 Rh 3.09, 4 Sb 3.21
In (0.0000, 0.5000, 0.2500) (multiplicity 2)  4 In 3.09, 4 Sb 3.09, 4 Rh 3.21
Sb (0.0000, 0.0000, 0.5000) (multiplicity 2)  8 In 3.09-3.21, 4 Rh 3.09
Rh (0.0000, 0.5000, 0.7500) (multiplicity 2)  8 In 3.09-3.21, 4 Sb 3.09


# GdHoCuPd

A relaxed structure of GdHoCuPd (GGA-PBE, Alexandria via LeMat-Bulk).

Results
Volume, Å³/atom: 21.6
Energy of formation, eV per atom: -0.55

a b c (Å): 7.0123 7.0123 7.0123
angles (deg): 90.00 90.00 90.00
Last column: nearest neighbours and their distance in Å.
Space group F-43m (No. 216)
Asymmetric unit:
Gd (0.0000, 0.0000, 0.0000) (multiplicity 4)  4 Cu 3.04, 4 Pd 3.04
Ho (0.0000, 0.0000, 0.5000) (multiplicity 4)  4 Pd 3.04, 4 Cu 3.04
Cu (0.2500, 0.2500, 0.2500) (multiplicity 4)  4 Gd 3.04, 4 Ho 3.04
Pd (0.2500, 0.2500, 0.7500) (multiplicity 4)  4 Gd 3.04, 4 Ho 3.04


# TiBeS2

A relaxed structure of TiBeS2 (GGA-PBE, Alexandria via LeMat-Bulk).

Results
Volume, Å³/atom: 17.1
Electronic total energy, eV/atom: -5.7203

a b c (Å): 3.3861 3.3861 20.6267
angles (deg): 90.00 90.00 120.00
Last column: nearest neighbours and their distance in Å.
Space group R-3m (No. 166, hexagonal axes)
Asymmetric unit:
Ti (0.0000, 0.0000, 0.0000) (multiplicity 3)  6 S 2.46
Be (0.0000, 0.0000, 0.5000) (multiplicity 3)  2 S 1.94
S (0.0000, 0.0000, 0.4057) (multiplicity 6)  1 Be 1.94


# VRuAuN2

A relaxed structure of VRuAuN2 (GGA-PBE, Alexandria via LeMat-Bulk).

Results
Volume, Å³/atom: 15.0
Electronic total energy, eV/atom: -6.6387

a b c (Å): 3.7706 3.7706 5.2578
angles (deg): 90.00 90.00 90.00
Last column: nearest neighbours and their distance in Å.
Space group P4/mmm (No. 123)
Asymmetric unit:
V (0.0000, 0.0000, 0.0000) (multiplicity 1)  4 N 1.89
Ru (0.5000, 0.5000, 0.5000) (multiplicity 1)  4 Au 2.67
Au (0.0000, 0.0000, 0.5000) (multiplicity 1)  2 V 2.63, 4 Ru 2.67
N (0.0000, 0.5000, 0.0000) (multiplicity 2)  2 V 1.89


# Nd12Dy2Tl

A relaxed structure of Nd12Dy2Tl (GGA-PBE, Alexandria via LeMat-Bulk).

Results
Volume, Å³/atom: 36.1
Energy of formation, eV per atom: 0.24

a b c (Å): 6.7323 6.7323 23.9114
angles (deg): 90.00 90.00 90.00
Last column: nearest neighbours and their distance in Å.
Space group P4/nbm (No. 125, origin choice 2)
Asymmetric unit:
Nd (0.0047, 0.5047, 0.0933) (multiplicity 8)  2 Tl 3.23-3.29, 6 Nd 3.37-3.49
Nd (0.0836, 0.5836, 0.5655) (multiplicity 8)  6 Nd 3.17-3.55
Nd (0.2500, 0.2500, 0.2000) (multiplicity 4)  1 Nd 3.05
Nd (0.2500, 0.2500, 0.3276) (multiplicity 4)  1 Nd 3.05
Dy (0.2500, 0.7500, 0.2482) (multiplicity 4)  8 Nd 3.56-3.87
Tl (0.2500, 0.7500, 0.0000) (multiplicity 2)  8 Nd 3.23-3.29


# SmCu6Pd6

A relaxed structure of SmCu6Pd6 (GGA-PBE, Alexandria via LeMat-Bulk).

Results
Volume, Å³/atom: 14.9
Energy of formation, eV per atom: -0.33

a b c (Å): 5.0105 8.6778 8.8857
angles (deg): 90.00 90.00 90.00
Last column: nearest neighbours and their distance in Å.
Space group Immm (No. 71)
Asymmetric unit:
Sm (0.0000, 0.0000, 0.0000) (multiplicity 2)  8 Pd 2.98-3.09, 4 Cu 3.27
Cu (0.0000, 0.5000, 0.2635) (multiplicity 4)  4 Cu 2.51, 6 Pd 2.69-2.71
Cu (0.2500, 0.2500, 0.2500) (multiplicity 8)  4 Cu 2.51, 6 Pd 2.60-2.68
Pd (0.0000, 0.0000, 0.3473) (multiplicity 4)  6 Cu 2.65-2.69, 1 Pd 2.71
Pd (0.0000, 0.3070, 0.5000) (multiplicity 4)  6 Cu 2.60-2.69, 2 Pd 2.83
Pd (0.0000, 0.3437, 0.0000) (multiplicity 4)  6 Cu 2.68-2.71, 3 Pd 2.71-2.83, 1 Sm 2.98


# TbSm8Ho3

A relaxed structure of TbSm8Ho3 (GGA-PBE, Alexandria via LeMat-Bulk).

Results
Volume, Å³/atom: 33.0
Energy of formation, eV per atom: 0.12

a b c (Å): 7.0034 11.9540 9.7617
angles (deg): 90.00 104.10 90.00
Last column: nearest neighbours and their distance in Å.
Space group C2/m (No. 12)
Asymmetric unit:
Tb (0.0000, 0.0000, 0.0000) (multiplicity 2)  8 Sm 3.50-3.74, 2 Ho 3.50
Sm (0.0711, 0.2525, 0.8334) (multiplicity 8)  3 Ho 3.47-3.76, 6 Sm 3.50-3.63, 1 Tb 3.52
Sm (0.1778, 0.0000, 0.6686) (multiplicity 4)  3 Ho 3.46-3.51, 6 Sm 3.49-3.62, 1 Tb 3.74
Sm (0.1782, 0.5000, 0.6635) (multiplicity 4)  3 Ho 3.48-3.79, 6 Sm 3.49-3.62, 1 Tb 3.50
Ho (0.0000, 0.5000, 0.0000) (multiplicity 2)  8 Sm 3.46-3.79, 2 Tb 3.50
Ho (0.2500, 0.2500, 0.5000) (multiplicity 4)  8 Sm 3.48-3.76, 2 Ho 3.50


# CeZnIn2

A relaxed structure of CeZnIn2 (GGA-PBE, Alexandria via LeMat-Bulk).

Results
Volume, Å³/atom: 23.8
Energy of formation, eV per atom: -0.34

a b c (Å): 4.8023 4.8023 16.5133
angles (deg): 90.00 90.00 90.00
Last column: nearest neighbours and their distance in Å.
Space group I4/mmm (No. 139)
Asymmetric unit:
Ce (0.0000, 0.0000, 0.1368) (multiplicity 4)  4 Zn 3.04, 8 In 3.30-3.40
Zn (0.0000, 0.5000, 0.2500) (multiplicity 4)  4 In 2.96, 4 Ce 3.04
In (0.0000, 0.0000, 0.3551) (multiplicity 4)  4 Zn 2.96
In (0.0000, 0.5000, 0.0000) (multiplicity 4)  4 Ce 3.30, 8 In 3.39-3.40


# SrCoBi2Br

A relaxed structure of SrCoBi2Br (GGA-PBE, Alexandria via LeMat-Bulk).

Results
Volume, Å³/atom: 37.8
Electronic total energy, eV/atom: -2.4629

a b c (Å): 6.2892 6.2892 4.7789
angles (deg): 90.00 90.00 90.00
Last column: nearest neighbours and their distance in Å.
Space group P4/mmm (No. 123)
Asymmetric unit:
Sr (0.0000, 0.0000, 0.0000) (multiplicity 1)  2 Co 2.39
Co (0.0000, 0.0000, 0.5000) (multiplicity 1)  2 Sr 2.39
Bi (0.0000, 0.5000, 0.0000) (multiplicity 2)  2 Sr 3.14
Br (0.5000, 0.5000, 0.5000) (multiplicity 1)  8 Bi 3.95


# CaCr2Rh

A relaxed structure of CaCr2Rh (GGA-PBE, Alexandria via LeMat-Bulk).

Results
Volume, Å³/atom: 17.7
ΔE to the lowest computed polymorph, eV/f.u.: 0.38
Energy of formation, eV per atom: 0.32

a b c (Å): 9.7458 2.9638 5.0274
angles (deg): 90.00 102.85 90.00
Last column: nearest neighbours and their distance in Å.
Space group C2/m (No. 12)
Asymmetric unit:
Ca (0.0000, 0.0000, 0.0000) (multiplicity 2)  4 Rh 2.92, 2 Ca 2.96, 2 Cr 3.14
Cr (0.2208, 0.0000, 0.6298) (multiplicity 4)  2 Cr 2.13
Rh (0.0000, 0.5000, 0.5000) (multiplicity 2)  4 Cr 2.57


# La2BeFe

A relaxed structure of La2BeFe (GGA-PBE, Alexandria via LeMat-Bulk).

Results
Volume, Å³/atom: 24.6
Energy of formation, eV per atom: 0.04

a b c (Å): 3.9429 3.9429 21.8862
angles (deg): 90.00 90.00 120.00
Last column: nearest neighbours and their distance in Å.
Space group R3m (No. 160, hexagonal axes)
Asymmetric unit:
La (0.0000, 0.0000, 0.0000) (multiplicity 3)  3 Be 2.95, 3 Fe 2.98
La (0.0000, 0.0000, 0.1722) (multiplicity 3)  3 Fe 2.93, 3 Be 2.96
Be (0.0000, 0.0000, 0.4192) (multiplicity 3)  3 Fe 2.28
Fe (0.0000, 0.0000, 0.7543) (multiplicity 3)  3 Be 2.28


# PaNi4Pd

A relaxed structure of PaNi4Pd (GGA-PBE, Alexandria via LeMat-Bulk).

Results
Volume, Å³/atom: 13.9
Energy of formation, eV per atom: -0.49

a b c (Å): 6.9289 6.9289 6.9289
angles (deg): 90.00 90.00 90.00
Last column: nearest neighbours and their distance in Å.
Space group F-43m (No. 216)
Asymmetric unit:
Pa (0.0000, 0.0000, 0.0000) (multiplicity 4)  12 Ni 2.87, 4 Pd 3.00
Ni (0.1244, 0.1244, 0.3756) (multiplicity 16)  6 Ni 2.44-2.46
Pd (0.2500, 0.2500, 0.7500) (multiplicity 4)  12 Ni 2.87, 4 Pa 3.00